Entry 1:
Density functional theory data (PBE) for an optimized crystal structure of Cs2NbTlBr6.

Geometry as POSCAR:
```
Cs2NbTlBr6
1.0
8.272 0.000 0.000
0.000 8.272 0.000
4.136 4.136 5.849
Cs Tl Nb Br
2 1 1 6
direct
0.750 0.250 0.500
0.250 0.750 0.500
0.000 0.000 0.000
0.500 0.500 0.000
0.273 0.273 0.455
0.727 0.727 0.545
0.273 0.273 0.000
0.727 0.727 0.000
0.727 0.273 0.000
0.273 0.727 0.000
```

Energy above the lowest structure with this stoichiometry ... 0.0055 eV per atom
Space-group type ... Fm-3m
Formation energy (no corrections) ... -1.21 eV per atom
DOS(E_F) ... 1.003 states/eV per atom
DFT total energy ... -3.6239 eV per atom



Entry 2:
Density functional theory data (PBE) for an optimized crystal structure of KBSe4.

Geometry as POSCAR:
```
KBSe4
1.0
6.568 1.933 -3.400
0.352 6.416 -4.219
-1.520 -0.413 9.691
K B Se
2 2 8
direct
0.395 0.646 0.291
0.605 0.354 0.709
0.285 0.035 0.069
0.715 0.965 0.931
0.187 0.207 0.930
0.851 0.736 0.742
0.242 0.723 0.930
0.390 0.006 0.742
0.610 0.994 0.258
0.758 0.277 0.070
0.149 0.264 0.258
0.813 0.793 0.070
```

Energy above the lowest structure with this stoichiometry ... 0.0000 eV per atom
Space-group type ... C2/c
Formation energy (no corrections) ... -0.44 eV per atom
DFT total energy ... -4.0576 eV per atom